{
  "formula": "KNdZrFeO6",
  "functional": "GGA+U",
  "state": "relaxed",
  "lattice_angstrom": [[0.000, 4.020, 4.020], [4.020, 0.000, 4.020], [4.020, 4.020, 0.000]],
  "species": ["K", "Nd", "Zr", "Fe", "O", "O", "O", "O", "O", "O"],
  "fractional_positions": [[0.000, 0.000, 0.000], [0.500, 0.500, 0.500], [0.250, 0.250, 0.250], [0.750, 0.750, 0.750], [0.508, 0.508, 0.992], [0.508, 0.992, 0.508], [0.508, 0.992, 0.992], [0.992, 0.508, 0.508], [0.992, 0.508, 0.992], [0.992, 0.992, 0.508]],
  "volume_a3_per_atom": 12.99,
  "energy_ev_per_cell": -72.893
}